{
  "formula": "Sm5Si2Bi2",
  "functional": "PBE",
  "state": "optimized geometry",
  "lattice_angstrom": [[7.849, -4.040, 0.000], [7.849, 4.040, 0.000], [0.000, 0.000, 8.101]],
  "species": ["Sm", "Sm", "Sm", "Sm", "Sm", "Sm", "Sm", "Sm", "Sm", "Sm", "Si", "Si", "Si", "Si", "Bi", "Bi", "Bi", "Bi"],
  "fractional_positions": [[0.000, 0.000, 0.000], [0.046, 0.706, 0.669], [0.206, 0.546, 0.169], [0.294, 0.954, 0.669], [0.454, 0.794, 0.169], [0.500, 0.500, 0.500], [0.546, 0.206, 0.831], [0.706, 0.046, 0.331], [0.794, 0.454, 0.831], [0.954, 0.294, 0.331], [0.126, 0.874, 0.375], [0.374, 0.626, 0.875], [0.626, 0.374, 0.125], [0.874, 0.126, 0.625], [0.208, 0.208, 0.000], [0.292, 0.292, 0.500], [0.708, 0.708, 0.500], [0.792, 0.792, 0.000]],
  "formation_energy_uncorrected_mev_per_atom": -797,
  "magnetic_moment_mub_per_atom": 0.00,
  "mass_density_g_cm3": 7.93
}